# 1
Density functional theory data (PBE) for a relaxed structure of Li5Mg8Cu.

The density of states at the Fermi level is 0.38 states/eV/atom. The formation energy is 0.48 eV/f.u.

It has space group I-4 (No. 82), with a = 8.2123 Å, b = 8.2123 Å, c = 8.7044 Å, α = 90.00°, β = 90.00° and γ = 90.00°. The distinct sites, in fractional coordinates, are Li at (0.0000, 0.0000, 0.0000), Li at (0.1113, 0.2900, 0.6799), Mg at (0.0724, 0.1835, 0.3495), Mg at (0.0751, 0.3245, 0.0108) and Cu at (0.0000, 0.5000, 0.2500).

---

# 2
Density functional theory data (PBE) for a relaxed structure of Nd7Y2Tm3.

The density of states at the Fermi level is 1.41 states/eV/atom. The formation energy is 1.11 eV/f.u.

It has space group P2/m (No. 10), with a = 5.8661 Å, b = 3.6265 Å, c = 19.0829 Å, α = 90.00°, β = 94.08° and γ = 90.00°. The distinct sites, in fractional coordinates, are Nd at (0.0000, 0.0000, 0.0000), Nd at (0.1737, 0.5000, 0.1838), Nd at (0.2586, 0.5000, 0.5344), Nd at (0.3299, 0.0000, 0.8557), Y at (0.2963, 0.5000, 0.7017), Tm at (0.2166, 0.0000, 0.3686) and Tm at (0.5000, 0.5000, 0.0000).

---

# 3
Density functional theory data (PBE) for a relaxed structure of CuS2O.

For the formation energy from raw total energies, the calculation gives -356 meV/atom. The density of states at the Fermi level is 0.00 states/eV/atom.

It has space group P1 (No. 1), with a = 4.3733 Å, b = 5.2433 Å, c = 7.0217 Å, α = 100.07°, β = 92.67° and γ = 109.37°. The distinct sites, in fractional coordinates, are Cu at (0.0000, 0.0000, 0.0000), Cu at (0.2126, 0.6263, 0.8326), S at (0.4578, 0.3296, 0.9286), S at (0.6050, 0.0030, 0.7832), S at (0.7288, 0.2184, 0.4639), S at (0.9108, 0.6016, 0.0934), O at (0.3994, 0.1714, 0.3762) and O at (0.8913, 0.5058, 0.5773).

---

# 4
Density functional theory data (PBE) for a relaxed structure of HoHfU2N4.

For the formation energy from raw total energies, the calculation gives -1533 meV/atom. The density of states at the Fermi level is 1.10 states/eV/atom.

It has space group P2/m (No. 10), with a = 5.8241 Å, b = 3.3426 Å, c = 5.9370 Å, α = 90.00°, β = 108.90° and γ = 90.00°. The distinct sites, in fractional coordinates, are Ho at (0.0000, 0.0000, 0.0000), Hf at (0.5000, 0.5000, 0.0000), U at (0.0000, 0.5000, 0.5000), U at (0.5000, 0.0000, 0.5000), N at (0.2634, 0.5000, 0.2437) and N at (0.2689, 0.0000, 0.7656).

---

# 5
Density functional theory data (PBE) for a relaxed structure of Ho2TmTl.

The density of states at the Fermi level is 1.16 states/eV/atom. The formation energy is -0.45 eV/f.u.

It has space group R3m (No. 160, hexagonal axes), with a = 3.5643 Å, b = 3.5643 Å, c = 32.5355 Å, α = 90.00°, β = 90.00° and γ = 120.00°. The distinct sites, in fractional coordinates, are Ho at (0.0000, 0.0000, 0.0000), Ho at (0.0000, 0.0000, 0.1727), Tm at (0.0000, 0.0000, 0.4195) and Tl at (0.0000, 0.0000, 0.5862).

---

# 6
Density functional theory data (PBE) for a relaxed structure of Pr4In12Ag.

The density of states at the Fermi level is 0.23 states/eV/atom. The formation energy is -7.07 eV/f.u.

It has space group Im-3m (No. 229), with a = 9.6171 Å, b = 9.6171 Å, c = 9.6171 Å, α = 90.00°, β = 90.00° and γ = 90.00°. The distinct sites, in fractional coordinates, are Pr at (0.2500, 0.2500, 0.2500), In at (0.0000, 0.0000, 0.2903), In at (0.0000, 0.2500, 0.5000) and Ag at (0.0000, 0.0000, 0.0000).

---

# 7
Density functional theory data (PBE) for a relaxed structure of CsCd3Au2.

The density of states at the Fermi level is 0.38 states/eV/atom. The formation energy is -1.21 eV/f.u.

It has space group Cmcm (No. 63), with a = 12.0705 Å, b = 9.1860 Å, c = 6.0520 Å, α = 90.00°, β = 90.00° and γ = 90.00°. The distinct sites, in fractional coordinates, are Cs at (0.0000, 0.1438, 0.2500), Cd at (0.0000, 0.4280, 0.7500), Cd at (0.2029, 0.2298, 0.7500) and Au at (0.1989, 0.5000, 0.0000).

---

# 8
Density functional theory data (PBE) for a relaxed structure of SiPb2Br.

For the formation energy from raw total energies, the calculation gives 163 meV/atom. The density of states at the Fermi level is 0.80 states/eV/atom.

It has space group Fm-3m (No. 225), with a = 7.5347 Å, b = 7.5347 Å, c = 7.5347 Å, α = 90.00°, β = 90.00° and γ = 90.00°. The distinct sites, in fractional coordinates, are Si at (0.0000, 0.0000, 0.0000), Pb at (0.2500, 0.2500, 0.2500) and Br at (0.0000, 0.0000, 0.5000).

---

# 9
Density functional theory data (PBE) for a relaxed structure of Nd3SbAs2Rh8.

For the formation energy from raw total energies, the calculation gives -598 meV/atom. The density of states at the Fermi level is 0.98 states/eV/atom.

It has space group P-3m1 (No. 164), with a = 5.5116 Å, b = 5.5116 Å, c = 9.8709 Å, α = 90.00°, β = 90.00° and γ = 120.00°. The distinct sites, in fractional coordinates, are Nd at (0.0000, 0.0000, 0.0000), Nd at (0.3333, 0.6667, 0.5695), Sb at (0.0000, 0.0000, 0.5000), As at (0.3333, 0.6667, 0.0891), Rh at (0.1650, 0.3299, 0.2726) and Rh at (0.3333, 0.6667, 0.8467).

---

# 10
Density functional theory data (PBE) for a relaxed structure of Ni2HgSb.

For the formation energy from raw total energies, the calculation gives 157 meV/atom. The density of states at the Fermi level is 0.62 states/eV/atom.

It has space group Imm2 (No. 44), with a = 3.0463 Å, b = 4.1863 Å, c = 10.8832 Å, α = 90.00°, β = 90.00° and γ = 90.00°. The distinct sites, in fractional coordinates, are Ni at (0.0000, 0.0000, 0.0000), Ni at (0.0000, 0.5000, 0.2913), Hg at (0.0000, 0.0000, 0.4655) and Sb at (0.0000, 0.5000, 0.6991).

---

# 11
Density functional theory data (PBE) for a relaxed structure of PmMg2I6.

For the formation energy from raw total energies, the calculation gives -989 meV/atom.

It has space group R3 (No. 146, hexagonal axes), with a = 8.0081 Å, b = 8.0081 Å, c = 23.8113 Å, α = 90.00°, β = 90.00° and γ = 120.00°. The distinct sites, in fractional coordinates, are Pm at (0.0000, 0.0000, 0.0000), Mg at (0.0000, 0.0000, 0.2701), Mg at (0.0000, 0.0000, 0.3936), I at (0.0052, 0.6944, 0.9182) and I at (0.0079, 0.3115, 0.0820).

---

# 12
Density functional theory data (PBE) for a relaxed structure of TaZn2Re.

The density of states at the Fermi level is 0.22 states/eV/atom. The formation energy is 0.21 eV/f.u.

It has space group Immm (No. 71), with a = 3.3511 Å, b = 4.2203 Å, c = 8.7257 Å, α = 90.00°, β = 90.00° and γ = 90.00°. The distinct sites, in fractional coordinates, are Ta at (0.0000, 0.0000, 0.0000), Zn at (0.0000, 0.5000, 0.2452) and Re at (0.0000, 0.0000, 0.5000).

---

# 13
Density functional theory data (PBE) for a relaxed structure of ZrTaVRh.

The density of states at the Fermi level is 0.93 states/eV/atom. The formation energy is -1.00 eV/f.u.

It has space group F-43m (No. 216), with a = 6.4451 Å, b = 6.4451 Å, c = 6.4451 Å, α = 90.00°, β = 90.00° and γ = 90.00°. The distinct sites, in fractional coordinates, are Zr at (0.0000, 0.0000, 0.0000), Ta at (0.0000, 0.0000, 0.5000), V at (0.2500, 0.2500, 0.7500) and Rh at (0.2500, 0.2500, 0.2500).

---

# 14
Density functional theory data (PBE) for a relaxed structure of TbSm2Y2Tm4.

The density of states at the Fermi level is 1.36 states/eV/atom. The formation energy is -0.03 eV/f.u.

It has space group C2/m (No. 12), with a = 18.5668 Å, b = 3.5754 Å, c = 9.5021 Å, α = 90.00°, β = 115.77° and γ = 90.00°. The distinct sites, in fractional coordinates, are Tb at (0.0000, 0.0000, 0.0000), Sm at (0.1660, 0.5000, 0.0021), Y at (0.1468, 0.0000, 0.6631), Tm at (0.0193, 0.5000, 0.3343) and Tm at (0.1852, 0.0000, 0.3367).

---

# 15
Density functional theory data (PBE) for a relaxed structure of VBi2.

The density of states at the Fermi level is 0.27 states/eV/atom. The formation energy is 0.71 eV/f.u.

It has space group C2/m (No. 12), with a = 10.7193 Å, b = 3.7764 Å, c = 8.4156 Å, α = 90.00°, β = 121.72° and γ = 90.00°. The distinct sites, in fractional coordinates, are V at (0.1423, 0.0000, 0.1806), Bi at (0.0913, 0.5000, 0.8853) and Bi at (0.1582, 0.0000, 0.5499).

---

# 16
Density functional theory data (PBE) for a relaxed structure of Tb6Nd2Ho3Tm.

The density of states at the Fermi level is 1.27 states/eV/atom. The formation energy is 0.19 eV/f.u.

It has space group C2/m (No. 12), with a = 6.1740 Å, b = 10.6859 Å, c = 11.8217 Å, α = 90.00°, β = 99.97° and γ = 90.00°. The distinct sites, in fractional coordinates, are Tb at (0.2477, 0.0000, 0.2470), Tb at (0.2504, 0.1661, 0.7527), Nd at (0.0000, 0.3334, 0.5000), Ho at (0.0000, 0.1664, 0.0000), Ho at (0.0000, 0.5000, 0.0000) and Tm at (0.0000, 0.0000, 0.5000).

---

# 17
Density functional theory data (PBE) for a relaxed structure of VP2Cl.

For the formation energy from raw total energies, the calculation gives 314 meV/atom. The density of states at the Fermi level is 0.59 states/eV/atom.

It has space group I-42d (No. 122), with a = 5.7587 Å, b = 5.7587 Å, c = 11.3690 Å, α = 90.00°, β = 90.00° and γ = 90.00°. The distinct sites, in fractional coordinates, are V at (0.0000, 0.0000, 0.0000), P at (0.1680, 0.2500, 0.1250) and Cl at (0.0000, 0.0000, 0.5000).

---

# 18
Density functional theory data (PBE) for a relaxed structure of BaSr2Y6O12.

For the formation energy from raw total energies, the calculation gives -3281 meV/atom. The density of states at the Fermi level is 0.00 states/eV/atom.

It has space group P-6 (No. 174), with a = 10.3970 Å, b = 10.3970 Å, c = 3.4650 Å, α = 90.00°, β = 90.00° and γ = 120.00°. The distinct sites, in fractional coordinates, are Ba at (0.0000, 0.0000, 0.0000), Sr at (0.3333, 0.6667, 0.5000), Sr at (0.6667, 0.3333, 0.0000), Y at (0.0011, 0.3481, 0.0000), Y at (0.3470, 0.3451, 0.5000), O at (0.1011, 0.2803, 0.5000), O at (0.1288, 0.6060, 0.0000), O at (0.3099, 0.1946, 0.0000) and O at (0.5203, 0.1234, 0.5000).

---

# 19
Density functional theory data (PBE) for a relaxed structure of Sc3TcGe.

The density of states at the Fermi level is 1.89 states/eV/atom. The formation energy is 2.66 eV/f.u.

It has space group Pm-3m (No. 221), with a = 4.9806 Å, b = 4.9806 Å, c = 4.9806 Å, α = 90.00°, β = 90.00° and γ = 90.00°. The distinct sites, in fractional coordinates, are Sc at (0.0000, 0.0000, 0.5000), Tc at (0.5000, 0.5000, 0.5000) and Ge at (0.0000, 0.0000, 0.0000).

---

# 20
Density functional theory data (PBE) for a relaxed structure of Sm2DyRu.

The density of states at the Fermi level is 1.65 states/eV/atom. The formation energy is 0.72 eV/f.u.

It has space group R-3m (No. 166, hexagonal axes), with a = 3.5647 Å, b = 3.5647 Å, c = 32.1173 Å, α = 90.00°, β = 90.00° and γ = 120.00°. The distinct sites, in fractional coordinates, are Sm at (0.0000, 0.0000, 0.1068), Dy at (0.0000, 0.0000, 0.0000) and Ru at (0.0000, 0.0000, 0.5000).